Record 1
The following is a PBE calculation of a relaxed structure of ErZrNi2, from Alexandria via LeMat-Bulk.

For the calculated formation energy, the calculation gives -38.5 kJ/mol of atoms. Its space group is No. 123.

Cell and atoms, written as POSCAR:
```
ErZrNi2
1.0
3.283 0.000 0.000
0.000 3.283 0.000
0.000 0.000 6.616
Ni Zr Er
2 1 1
Cartesian
0.000 0.000 5.183
0.000 0.000 1.433
1.642 1.642 0.000
1.642 1.642 3.308
```

Record 2
The following is a PBE calculation of a relaxed structure of MgZrIr2, from Alexandria via LeMat-Bulk.

For the calculated formation energy, the calculation gives -17.1 kJ/mol of atoms. Its space group is No. 216.

Cell and atoms, written as POSCAR:
```
MgZrIr2
1.0
-2.299 -2.525 3.041
1.954 -1.129 3.977
-1.477 1.892 3.892
Ir Mg Zr
2 1 1
Cartesian
0.000 0.000 0.000
-0.456 -0.440 2.727
-0.911 -0.881 5.455
-1.367 -1.321 8.182
```

Record 3
The following is a PBE calculation of a relaxed structure of LiCr2Mo, from Alexandria via LeMat-Bulk.

Its energy above the most stable polymorph in this dataset is 68 kJ/mol of formula units. For the calculated formation energy, the calculation gives 45.5 kJ/mol of atoms. Its space group is No. 123.

Cell and atoms, written as POSCAR:
```
LiCr2Mo
1.0
-0.031 -3.982 -1.351
-1.153 -1.291 3.833
-2.977 0.294 -0.797
Cr Li Mo
2 1 1
Cartesian
0.000 0.000 0.000
-0.592 -2.637 1.241
-1.504 -1.844 -1.074
-2.065 -0.499 1.518
```

Record 4
The following is a PBE calculation of a relaxed structure of BaTbAu2, from Alexandria via LeMat-Bulk.

Its energy above the most stable polymorph in this dataset is 32 kJ/mol of formula units. For the calculated formation energy, the calculation gives -64.6 kJ/mol of atoms. Its space group is No. 166.

Cell and atoms, written as POSCAR:
```
BaTbAu2
1.0
4.452 0.000 0.000
2.226 3.855 0.000
2.226 1.285 7.373
Tb Au Ba
1 2 1
Cartesian
0.000 0.000 0.000
6.677 3.855 5.887
2.226 1.285 1.486
4.452 2.570 3.686
```

Record 5
The following is a PBE calculation of a relaxed structure of NaSr2Li2Ag, from Alexandria via LeMat-Bulk.

For the calculated formation energy, the calculation gives -4.4 kJ/mol of atoms. Its space group is No. 72.

Cell and atoms, written as POSCAR:
```
NaSr2Li2Ag
1.0
6.870 0.000 0.000
0.000 9.049 0.000
-3.435 -4.524 6.652
Na Sr Li Ag
2 4 4 2
Cartesian
1.717 0.000 0.000
5.152 0.000 0.000
3.435 5.776 2.555
0.000 3.273 2.555
3.435 1.251 4.097
0.000 -1.251 4.097
0.000 1.897 5.803
3.435 2.627 0.849
0.000 6.422 0.849
3.435 -1.897 5.803
5.152 4.524 0.000
1.717 4.524 0.000
```

Record 6
The following is a PBE calculation of a relaxed structure of Cr2CuPt, from Alexandria via LeMat-Bulk.

For the calculated formation energy, the calculation gives 13.2 kJ/mol of atoms. Its space group is No. 123.

Cell and atoms, written as POSCAR:
```
Cr2CuPt
1.0
-2.335 0.333 1.127
0.477 -2.022 1.586
3.081 4.652 5.005
Cr Cu Pt
2 1 1
Cartesian
0.037 0.056 0.060
1.504 2.270 2.442
-0.158 0.319 2.608
1.382 2.645 5.110
```

Record 7
The following is a PBE calculation of a relaxed structure of Na3LaCe2S6, from Alexandria via LeMat-Bulk.

Its uncorrected formation energy is -1.773 eV per atom. Its space group is No. 12.

Cell and atoms, written as POSCAR:
```
Na3LaCe2S6
1.0
7.229 -0.001 0.000
-3.614 6.261 0.000
-1.206 -2.088 6.652
Na La Ce S
3 1 2 6
Cartesian
-2.407 4.172 3.327
4.816 0.000 3.327
1.205 2.086 3.327
0.000 0.000 0.000
0.001 4.173 0.000
3.614 2.087 0.000
3.630 2.058 5.105
2.394 4.146 1.556
-1.221 2.114 1.548
-0.032 4.172 5.105
0.015 0.026 5.097
2.441 -0.001 1.548
```

Record 8
The following is a PBE calculation of a relaxed structure of La2AgHgRu, from Alexandria via LeMat-Bulk.

Its energy above the most stable polymorph in this dataset is 83 kJ/mol of formula units. For the calculated formation energy, the calculation gives -14.5 kJ/mol of atoms. Its space group is No. 123.

Cell and atoms, written as POSCAR:
```
La2AgHgRu
1.0
5.283 0.000 0.000
0.000 5.283 0.000
0.000 0.000 5.281
Ru Hg Ag La
1 1 1 2
Cartesian
0.000 0.000 0.000
2.642 2.642 2.641
0.000 0.000 2.641
0.000 2.642 0.000
2.642 0.000 0.000
```